Entry 1:
Computed, not measured: a relaxed structure of SrLaGd4 at the GGA-PBE level of DFT.

Structure (POSCAR):
```
SrLaGd4
1.0
-2.2647 -6.4657 0.1282
0.3327 -3.6323 5.8006
-5.7404 -1.5526 3.4041
La Sr Gd
1 1 4
Cartesian
0.0000 0.0000 0.0000
-1.9181 -2.9126 2.3332
-3.6592 -4.0102 5.7928
-1.8836 -6.5201 4.1193
-4.8161 -7.3132 5.8583
-4.9861 -5.4576 2.8951
```

Computed properties:
Formation energy from the elements: 0.237 eV per atom
Symmetry: F-43m, No. 216
Electronic total energy: -61.511 eV per cell

=====

Entry 2:
Computed, not measured: a relaxed structure of LaTbGdZn at the GGA-PBE level of DFT.

Structure (POSCAR):
```
LaTbGdZn
1.0
5.4565 0.0000 0.0000
2.7283 4.7255 0.0000
2.7283 1.5752 4.4552
Zn La Gd Tb
1 1 1 1
Cartesian
0.0000 0.0000 0.0000
2.7283 1.5752 1.1138
8.1848 4.7255 3.3414
5.4565 3.1503 2.2276
```

Computed properties:
Formation energy from the elements: 0.027 eV per atom
Symmetry: F-43m, No. 216
Electronic total energy: -24.803 eV per cell

=====

Entry 3:
Computed, not measured: a relaxed structure of LaTbGdZr at the GGA-PBE level of DFT.

Structure (POSCAR):
```
LaTbGdZr
1.0
5.5694 0.0000 0.0000
2.7847 4.8232 0.0000
2.7847 1.6077 4.5474
Zr La Gd Tb
1 1 1 1
Cartesian
2.7847 1.6077 1.1369
5.5694 3.2155 2.2737
0.0000 0.0000 0.0000
8.3541 4.8232 3.4106
```

Computed properties:
Formation energy from the elements: 0.208 eV per atom
Symmetry: F-43m, No. 216
Electronic total energy: -31.355 eV per cell

=====

Entry 4:
Computed, not measured: a relaxed structure of La2GdTc at the GGA-PBE level of DFT.

Structure (POSCAR):
```
La2GdTc
1.0
-4.1655 -0.7746 2.4856
-2.8191 -3.8756 -1.0783
0.2924 -4.4287 3.9638
La Tc Gd
2 1 1
Cartesian
-1.8097 -2.1196 1.1606
-4.8825 -6.9592 4.2106
0.0000 0.0000 0.0000
-3.3461 -4.5394 2.6856
```

Computed properties:
ΔE to the lowest computed polymorph: 127 meV per atom
Formation energy from the elements: 0.253 eV per atom
Symmetry: R-3m, No. 166
Electronic total energy: -33.291 eV per cell

=====

Entry 5:
Computed, not measured: a relaxed structure of LaGd2Tc at the GGA-PBE level of DFT.

Structure (POSCAR):
```
LaGd2Tc
1.0
3.5557 0.0000 0.0000
1.7779 3.0794 0.0000
1.7779 1.0265 10.2961
La Gd Tc
1 2 1
Cartesian
3.5557 2.0529 5.1481
5.3336 3.0794 8.3099
1.7779 1.0265 1.9862
0.0000 0.0000 0.0000
```

Computed properties:
ΔE to the lowest computed polymorph: 142 meV per atom
Formation energy from the elements: 0.185 eV per atom
Symmetry: R-3m, No. 166
Electronic total energy: -42.716 eV per cell

=====

Entry 6:
Computed, not measured: a relaxed structure of La2GdTc at the GGA-PBE level of DFT.

Structure (POSCAR):
```
La2GdTc
1.0
3.5850 0.0000 0.0000
0.0000 3.5850 0.0000
0.0000 0.0000 8.9602
La Gd Tc
2 1 1
Cartesian
0.0000 0.0000 1.7434
0.0000 0.0000 7.2168
1.7925 1.7925 4.4801
1.7925 1.7925 0.0000
```

Computed properties:
ΔE to the lowest computed polymorph: 0 meV per atom
Formation energy from the elements: 0.125 eV per atom
Symmetry: P4/mmm, No. 123
Electronic total energy: -33.801 eV per cell